Material: Cs2NbSeF6
Method: DFT, PBE
State: relaxed

Calculated values
Space-group type = I4/mmm (139)
E_form (uncorrected) = -2362 kJ/mol of formula units

abc: 7.3193 7.3193 7.3193
angles: 121.26 121.26 87.83
With the nearest neighbours (Å) after each atom.
Element x y z (fractional)
Cs  0.2500  0.7500  0.5000  12 F 3.65-3.71
Cs  0.7500  0.2500  0.5000  12 F 3.65-3.71
Nb  0.0000  0.0000  0.0000  6 F 1.95
Se  0.5000  0.5000  0.0000  6 F 3.13-3.32
F  0.1848  0.1848  0.0000  1 Nb 1.95
F  0.1921  0.1921  0.3841  1 Nb 1.95
F  0.1921  0.8079  0.0000  1 Nb 1.95
F  0.8079  0.1921  0.0000  1 Nb 1.95
F  0.8079  0.8079  0.6159  1 Nb 1.95
F  0.8152  0.8152  0.0000  1 Nb 1.95